(1)
Below is an optimized crystal structure of TlTe2Pb, with properties calculated at the GGA-PBE level.

total DFT energy (no corrections): -26.036 eV per cell
Fermi-level density of states: 2.76 states/eV per cell

a = 6.798 Å, b = 8.733 Å, c = 4.365 Å
α = 90.00°, β = 90.00°, γ = 90.00°
Space group Cmmm (No. 65)
Inequivalent atoms, fractional coordinates:
1 Tl 0.000 0.000 0.000
2 Te 0.250 0.250 0.500
3 Pb 0.000 0.500 0.000



(2)
Below is an optimized crystal structure of NbAs2RhSe, with properties calculated at the GGA-PBE level.

energy relative to the lowest polymorph listed for this composition: 0 meV/atom
total DFT energy (no corrections): -26.836 eV per cell
Fermi-level density of states: 5.63 states/eV per cell

a = 4.963 Å, b = 4.963 Å, c = 4.913 Å
α = 90.00°, β = 90.00°, γ = 90.00°
Space group P4/mmm (No. 123)
Inequivalent atoms, fractional coordinates:
1 Nb 0.000 0.000 0.000
2 As 0.000 0.500 0.000
3 Rh 0.500 0.500 0.500
4 Se 0.000 0.000 0.500



(3)
Below is an optimized crystal structure of Pr2Al4ZnCu3, with properties calculated at the GGA-PBE level.

total DFT energy (no corrections): -42.170 eV per cell
Fermi-level density of states: 5.47 states/eV per cell

a = 4.287 Å, b = 4.287 Å, c = 10.227 Å
α = 90.00°, β = 90.00°, γ = 90.00°
Space group P-4m2 (No. 115)
Inequivalent atoms, fractional coordinates:
1 Pr 0.000 0.500 0.248
2 Al 0.000 0.000 0.500
3 Al 0.000 0.500 0.865
4 Al 0.500 0.500 0.500
5 Zn 0.500 0.500 0.000
6 Cu 0.000 0.000 0.000
7 Cu 0.000 0.500 0.627



(4)
Below is an optimized crystal structure of RbPa2Ni2S6, with properties calculated at the GGA-PBE level.

total DFT energy (no corrections): -69.006 eV per cell
Fermi-level density of states: 7.89 states/eV per cell

a = 7.136 Å, b = 7.158 Å, c = 7.336 Å
α = 63.32°, β = 61.90°, γ = 60.67°
Space group P-1 (No. 2)
Inequivalent atoms, fractional coordinates:
1 Rb 0.000 0.000 0.000
2 Pa 0.334 0.005 0.329
3 Ni 0.322 0.557 0.663
4 S 0.091 0.747 0.472
5 S 0.314 0.253 0.929
6 S 0.476 0.753 0.670